Entry from the Alexandria database: TcB4Mo after structural relaxation (PBE).

Properties
magnetic moment = 0.00 μB/cell
formation energy = -161 meV per atom

Cell lengths 3.0000, 4.5311, 4.5311 Å; angles 69.82, 70.60, 70.60 degrees
Sites, in units of the cell vectors:
1 B 0.2484 0.4196 0.0841
2 B 0.7516 0.5804 0.9159
3 B 0.2484 0.0841 0.4196
4 B 0.7516 0.9159 0.5804
5 Tc 0.0000 0.0000 0.0000
6 Mo 0.5000 0.5000 0.5000

=====

Entry from the Alexandria database: CeAl2Os after structural relaxation (PBE).

Properties
magnetic moment = 0.79 μB/cell
formation energy = -320 meV per atom

Cell lengths 4.2731, 4.2731, 5.7222 Å; angles 68.08, 68.08, 60.00 degrees
Sites, in units of the cell vectors:
1 Os 0.0000 0.0000 0.0000
2 Ce 0.5000 0.5000 0.5000
3 Al 0.2930 0.2930 0.1210
4 Al 0.7070 0.7070 0.8790

=====

Entry from the Alexandria database: TlZnSi2 after structural relaxation (PBE).

Properties
magnetic moment = 0.00 μB/cell
energy above the lowest structure with this stoichiometry = 307 meV per atom
ΔE_f (raw) = 0.569 eV/atom

Cell lengths 4.8001, 4.8001, 4.8001 Å; angles 60.00, 60.00, 60.00 degrees
Sites, in units of the cell vectors:
1 Zn 0.7500 0.7500 0.7500
2 Tl 0.5000 0.5000 0.5000
3 Si 0.0000 0.0000 0.0000
4 Si 0.2500 0.2500 0.2500

=====

Entry from the Alexandria database: VGaS2N after structural relaxation (PBE).

Properties
magnetic moment = 0.00 μB/cell
energy above the lowest structure with this stoichiometry = 954 meV per atom
ΔE_f (raw) = 0.881 eV/atom

Cell lengths 4.7424, 4.7424, 3.6003 Å; angles 90.00, 90.00, 90.00 degrees
Sites, in units of the cell vectors:
1 N 0.0000 0.0000 0.5000
2 S 0.5000 0.0000 0.0000
3 S 0.0000 0.5000 0.0000
4 V 0.5000 0.5000 0.5000
5 Ga 0.0000 0.0000 0.0000

=====

Entry from the Alexandria database: TlTeSe4 after structural relaxation (PBE).

Properties
magnetic moment = 0.00 μB/cell
energy above the lowest structure with this stoichiometry = 370 meV per atom
ΔE_f (raw) = 0.413 eV/atom

Cell lengths 5.9322, 5.9322, 5.9322 Å; angles 60.00, 60.00, 60.00 degrees
Sites, in units of the cell vectors:
1 Te 0.7500 0.7500 0.7500
2 Se 0.8680 0.3773 0.3773
3 Se 0.3773 0.3773 0.8680
4 Se 0.3773 0.8680 0.3773
5 Se 0.3773 0.3773 0.3773
6 Tl 0.0000 0.0000 0.0000

=====

Entry from the Alexandria database: Sm4Dy6Er after structural relaxation (PBE).

Properties
magnetic moment = 0.00 μB/cell
formation energy = 439 meV per atom
energy above the lowest structure with this stoichiometry = 140 meV per atom

Cell lengths 7.6039, 7.6039, 8.5091 Å; angles 116.54, 116.54, 90.00 degrees
Sites, in units of the cell vectors:
1 Sm 0.9039 0.9039 0.1541
2 Sm 0.2502 0.2502 0.1541
3 Sm 0.0961 0.7498 0.8459
4 Sm 0.7498 0.0961 0.8459
5 Dy 0.9215 0.4477 0.3692
6 Dy 0.5000 0.0000 0.0000
7 Dy 0.5523 0.5523 0.6308
8 Dy 0.0785 0.0785 0.6308
9 Dy 0.0000 0.5000 0.0000
10 Dy 0.4477 0.9215 0.3692
11 Er 0.5000 0.5000 0.0000

=====

Entry from the Alexandria database: Ho4CoCu after structural relaxation (PBE).

Properties
magnetic moment = 0.00 μB/cell
formation energy = -174 meV per atom
energy above the lowest structure with this stoichiometry = 0 meV per atom

Cell lengths 9.2192, 9.2192, 9.2192 Å; angles 60.00, 60.00, 60.00 degrees
Sites, in units of the cell vectors:
1 Cu 0.1729 0.1729 0.1729
2 Cu 0.1729 0.4813 0.1729
3 Cu 0.1729 0.1729 0.4813
4 Cu 0.4813 0.1729 0.1729
5 Ho 0.8130 0.8130 0.1870
6 Ho 0.5597 0.9403 0.9403
7 Ho 0.9403 0.5597 0.5597
8 Ho 0.1870 0.8130 0.8130
9 Ho 0.3976 0.3975 0.8074
10 Ho 0.8074 0.3975 0.3975
11 Ho 0.8130 0.1870 0.1870
12 Ho 0.5597 0.5597 0.9403
13 Ho 0.8130 0.1870 0.8130
14 Ho 0.9403 0.9403 0.5597
15 Ho 0.3976 0.3975 0.3975
16 Ho 0.1870 0.1870 0.8130
17 Ho 0.3976 0.8074 0.3975
18 Ho 0.1870 0.8130 0.1870
19 Ho 0.5597 0.9403 0.5597
20 Ho 0.9403 0.5597 0.9403
21 Co 0.6078 0.6078 0.1765
22 Co 0.6078 0.1765 0.6078
23 Co 0.6078 0.6078 0.6078
24 Co 0.1765 0.6078 0.6078

=====

Entry from the Alexandria database: PrDyPaO6 after structural relaxation (PBE).

Properties
magnetic moment = 0.75 μB/cell
ΔE_f (raw) = -3.135 eV/atom

Cell lengths 4.6908, 5.9246, 5.9246 Å; angles 120.00, 90.00, 90.00 degrees
Sites, in units of the cell vectors:
1 O 0.2524 0.0275 0.6807
2 O 0.7476 0.3193 0.9725
3 O 0.2524 0.3193 0.3468
4 O 0.7476 0.6532 0.6807
5 O 0.2524 0.6532 0.9725
6 O 0.7476 0.0275 0.3468
7 Pr 0.5000 0.6667 0.3333
8 Pa 0.0000 0.3333 0.6667
9 Dy 0.5000 0.0000 0.0000

=====

Entry from the Alexandria database: Rb3GeAu after structural relaxation (PBE).

Properties
magnetic moment = 0.00 μB/cell
formation energy = -61 meV per atom
energy above the lowest structure with this stoichiometry = 0 meV per atom

Cell lengths 9.5443, 9.5443, 7.7322 Å; angles 112.45, 116.27, 109.40 degrees
Sites, in units of the cell vectors:
1 Rb 0.3088 0.5897 0.8985
2 Rb 0.7887 0.5688 0.7586
3 Rb 0.6912 0.4103 0.1015
4 Rb 0.1898 0.9700 0.7586
5 Rb 0.8102 0.0300 0.2414
6 Rb 0.2113 0.4312 0.2414
7 Ge 0.3611 0.9732 0.3343
8 Ge 0.6389 0.0268 0.6657
9 Au 0.3005 0.2116 0.5121
10 Au 0.6995 0.7884 0.4879

=====

Entry from the Alexandria database: KTiAs2 after structural relaxation (PBE).

Properties
magnetic moment = 0.00 μB/cell
formation energy = -521 meV per atom
energy above the lowest structure with this stoichiometry = 0 meV per atom

Cell lengths 3.8853, 3.8853, 7.8451 Å; angles 75.66, 75.66, 60.00 degrees
Sites, in units of the cell vectors:
1 As 0.7253 0.7253 0.8242
2 As 0.2747 0.2747 0.1758
3 Ti 0.0000 0.0000 0.0000
4 K 0.5000 0.5000 0.5000

=====

Entry from the Alexandria database: RbSn3Pt3 after structural relaxation (PBE).

Properties
magnetic moment = 0.00 μB/cell
formation energy = -431 meV per atom
energy above the lowest structure with this stoichiometry = 0 meV per atom

Cell lengths 7.2824, 7.2824, 9.8769 Å; angles 68.37, 68.37, 60.00 degrees
Sites, in units of the cell vectors:
1 Sn 0.6446 0.1979 0.3551
2 Sn 0.1979 0.8024 0.3551
3 Sn 0.1976 0.3554 0.6449
4 Sn 0.8024 0.6446 0.3551
5 Sn 0.3554 0.8021 0.6449
6 Sn 0.8021 0.1976 0.6449
7 Pt 0.4374 0.9953 0.3371
8 Pt 0.9953 0.2302 0.3371
9 Pt 0.2302 0.4374 0.3371
10 Pt 0.5626 0.0047 0.6629
11 Pt 0.7698 0.5626 0.6629
12 Pt 0.0047 0.7698 0.6629
13 Rb 0.6602 0.6602 0.0193
14 Rb 0.3398 0.3398 0.9807

=====

Entry from the Alexandria database: Li2CePt9 after structural relaxation (PBE).

Properties
magnetic moment = 0.40 μB/cell
formation energy = -552 meV per atom

Cell lengths 5.3293, 5.3293, 9.2965 Å; angles 73.34, 73.34, 60.00 degrees
Sites, in units of the cell vectors:
1 Pt 0.5000 0.5000 0.5000
2 Pt 0.4123 0.9177 0.2578
3 Pt 0.9177 0.4123 0.2578
4 Pt 0.6669 0.6669 0.9994
5 Pt 0.4123 0.4123 0.2578
6 Pt 0.3331 0.3331 0.0006
7 Pt 0.5877 0.0823 0.7422
8 Pt 0.0823 0.5877 0.7422
9 Pt 0.5877 0.5877 0.7422
10 Li 0.1469 0.1469 0.5592
11 Li 0.8531 0.8531 0.4408
12 Ce 0.0000 0.0000 0.0000

=====

Entry from the Alexandria database: MoRhW after structural relaxation (PBE).

Properties
magnetic moment = 0.00 μB/cell
formation energy = 28 meV per atom
energy above the lowest structure with this stoichiometry = 87 meV per atom

Cell lengths 4.4304, 4.4304, 5.4609 Å; angles 90.00, 90.00, 120.00 degrees
Sites, in units of the cell vectors:
1 Mo 0.3333 0.6667 0.0166
2 Mo 0.6667 0.3333 0.3612
3 Rh 0.6667 0.3333 0.8668
4 Rh 0.0000 0.0000 0.6519
5 W 0.0000 0.0000 0.1619
6 W 0.3333 0.6667 0.5198

=====

Entry from the Alexandria database: YCd2Ag2 after structural relaxation (PBE).

Properties
magnetic moment = 0.00 μB/cell
formation energy = -93 meV per atom
energy above the lowest structure with this stoichiometry = 135 meV per atom

Cell lengths 8.3110, 8.3110, 3.1497 Å; angles 90.00, 90.00, 90.00 degrees
Sites, in units of the cell vectors:
1 Cd 0.3754 0.8754 0.0000
2 Cd 0.1246 0.3754 0.0000
3 Cd 0.6246 0.1246 0.0000
4 Cd 0.8754 0.6246 0.0000
5 Ag 0.3259 0.1741 0.5000
6 Ag 0.6741 0.8259 0.5000
7 Ag 0.1741 0.6741 0.5000
8 Ag 0.8259 0.3259 0.5000
9 Y 0.0000 0.0000 0.0000
10 Y 0.5000 0.5000 0.0000

=====

Entry from the Alexandria database: NdB2RuRh after structural relaxation (PBE).

Properties
magnetic moment = 0.00 μB/cell
formation energy = -570 meV per atom

Cell lengths 3.9374, 3.9374, 5.6585 Å; angles 110.36, 110.36, 90.00 degrees
Sites, in units of the cell vectors:
1 B 0.6683 0.6683 0.3367
2 B 0.3317 0.3317 0.6633
3 Rh 0.7500 0.2500 0.5000
4 Ru 0.2500 0.7500 0.5000
5 Nd 0.0000 0.0000 0.0000

=====

Entry from the Alexandria database: AsRh2Cl after structural relaxation (PBE).

Properties
magnetic moment = 1.88 μB/cell
energy above the lowest structure with this stoichiometry = 263 meV per atom
ΔE_f (raw) = 0.059 eV/atom

Cell lengths 3.0477, 3.0477, 7.7502 Å; angles 90.00, 90.00, 90.00 degrees
Sites, in units of the cell vectors:
1 Rh 0.0000 0.0000 0.0114
2 Rh 0.5000 0.5000 0.2504
3 As 0.0000 0.0000 0.4231
4 Cl 0.5000 0.5000 0.8150

=====

Entry from the Alexandria database: LaPm4Al after structural relaxation (PBE).

Properties
magnetic moment = 0.00 μB/cell
formation energy = -68 meV per atom
energy above the lowest structure with this stoichiometry = 28 meV per atom

Cell lengths 5.4823, 6.8490, 6.6588 Å; angles 98.47, 65.69, 66.41 degrees
Sites, in units of the cell vectors:
1 La 0.5000 0.5000 0.5000
2 Pm 0.1336 0.1622 0.5705
3 Pm 0.6476 0.7111 0.9938
4 Pm 0.3524 0.2889 0.0062
5 Pm 0.8664 0.8378 0.4295
6 Al 0.0000 0.0000 0.0000

=====

Entry from the Alexandria database: TlAgHg2 after structural relaxation (PBE).

Properties
magnetic moment = 0.00 μB/cell
formation energy = 117 meV per atom

Cell lengths 5.1458, 5.1458, 3.8607 Å; angles 90.00, 90.00, 105.51 degrees
Sites, in units of the cell vectors:
1 Ag 0.0000 0.5000 0.5000
2 Hg 0.0000 0.0000 0.0000
3 Hg 0.5000 0.5000 0.0000
4 Tl 0.5000 0.0000 0.5000

=====

Entry from the Alexandria database: SrTlMo3 after structural relaxation (PBE).

Properties
magnetic moment = 0.00 μB/cell
formation energy = 2219 meV per atom
energy above the lowest structure with this stoichiometry = 0 meV per atom

Cell lengths 5.1284, 5.1284, 5.1284 Å; angles 90.00, 90.00, 90.00 degrees
Sites, in units of the cell vectors:
1 Sr 0.5000 0.5000 0.5000
2 Mo 0.0000 0.5000 0.0000
3 Mo 0.5000 0.0000 0.0000
4 Mo 0.0000 0.0000 0.5000
5 Tl 0.0000 0.0000 0.0000

=====

Entry from the Alexandria database: LiVW3 after structural relaxation (PBE).

Properties
magnetic moment = 0.00 μB/cell
formation energy = 1637 meV per atom
energy above the lowest structure with this stoichiometry = 162 meV per atom

Cell lengths 4.5634, 4.5634, 4.5634 Å; angles 90.00, 90.00, 90.00 degrees
Sites, in units of the cell vectors:
1 W 0.0000 0.0000 0.5000
2 W 0.5000 0.0000 0.0000
3 W 0.0000 0.5000 0.0000
4 Li 0.5000 0.5000 0.5000
5 V 0.0000 0.0000 0.0000

=====

Entry from the Alexandria database: Pr2HoTmO6 after structural relaxation (PBE).

Properties
magnetic moment = 0.00 μB/cell
ΔE_f (raw) = -3.442 eV/atom

Cell lengths 5.9521, 5.9520, 6.1147 Å; angles 60.87, 60.87, 60.00 degrees
Sites, in units of the cell vectors:
1 O 0.6823 0.1085 0.7648
2 O 0.1846 0.9478 0.2627
3 O 0.9478 0.6049 0.2627
4 O 0.1085 0.4444 0.7648
5 O 0.6049 0.1846 0.2627
6 O 0.4444 0.6823 0.7648
7 Pr 0.0335 0.0335 0.8995
8 Pr 0.5339 0.5339 0.3983
9 Tm 0.3113 0.3113 0.0661
10 Ho 0.8104 0.8104 0.5688

=====

| no. | E_tot (eV/atom) | Fermi-level density of states (states/eV/f.u.) |
| --- | --- | --- |
| 1 | -8.1455 | 3.82 |
| 2 | -6.4817 | 6.74 |
| 3 | -3.0523 | 1.22 |
| 4 | -4.8637 | 7.51 |
| 5 | -2.8283 | 4.58 |
| 6 | -4.2020 | 12.75 |
| 7 | -5.0924 | 5.34 |
| 8 | -8.5381 | 8.62 |
| 9 | -2.2203 | 2.68 |
| 10 | -5.0936 | 1.71 |
| 11 | -4.8739 | 2.42 |
| 12 | -5.8961 | 10.25 |
| 13 | -10.3509 | 1.73 |
| 14 | -2.8927 | 3.15 |
| 15 | -7.5202 | 0.47 |
| 16 | -5.2404 | 4.45 |
| 17 | -4.6801 | 7.00 |
| 18 | -1.3382 | 2.02 |
| 19 | -5.0896 | 12.30 |
| 20 | -8.3416 | 4.30 |
| 21 | -8.2773 | 0.00 |